(1)
Here is crystalline CsRb2NaCd at its relaxed geometry from Alexandria. Energies are from GGA-PBE.

Its symmetry is P4/mmm (123). The value obtained for the total magnetization is 0.000 μB per formula unit. Its formation energy is 98 meV/atom. The energy above the most stable polymorph in this dataset comes out at 0.057 eV per atom. Its density of states at the Fermi level is 5.1 states/eV per cell.

a = 7.177 Å, b = 7.177 Å, c = 7.427 Å
α = 90.00°, β = 90.00°, γ = 90.00°
Atoms (fractional coordinates):
Cs  0.000  0.000  0.500
Cd  0.000  0.000  0.000
Rb  0.500  0.000  0.000
Na  0.500  0.500  0.500
Rb  0.000  0.500  0.000

=====

(2)
Here is crystalline CsRbNa2Cd at its relaxed geometry from Alexandria. Energies are from GGA-PBE.

Its symmetry is P4/mmm (123). The value obtained for the total magnetization is 0.000 μB per formula unit. Its formation energy is 65 meV/atom. The energy above the most stable polymorph in this dataset comes out at 0.015 eV per atom. Its density of states at the Fermi level is 4.5 states/eV per cell.

a = 6.401 Å, b = 6.401 Å, c = 7.134 Å
α = 90.00°, β = 90.00°, γ = 90.00°
Atoms (fractional coordinates):
Cs  0.000  0.000  0.500
Na  0.500  0.000  0.000
Na  0.000  0.500  0.000
Cd  0.000  0.000  0.000
Rb  0.500  0.500  0.500

=====

(3)
Here is crystalline CsRbNa2Cd at its relaxed geometry from Alexandria. Energies are from GGA-PBE.

Its symmetry is P4/mmm (123). The value obtained for the total magnetization is 0.000 μB per formula unit. Its formation energy is 50 meV/atom. The energy above the most stable polymorph in this dataset comes out at 0.000 eV per atom. Its density of states at the Fermi level is 4.6 states/eV per cell.

a = 6.407 Å, b = 6.407 Å, c = 6.968 Å
α = 90.00°, β = 90.00°, γ = 90.00°
Atoms (fractional coordinates):
Na  0.000  0.500  0.000
Cd  0.000  0.000  0.000
Cs  0.500  0.500  0.500
Na  0.500  0.000  0.000
Rb  0.000  0.000  0.500

=====

(4)
Here is crystalline CsRb2NaCd at its relaxed geometry from Alexandria. Energies are from GGA-PBE.

Its symmetry is P4/mmm (123). The value obtained for the total magnetization is 0.000 μB per formula unit. Its formation energy is 41 meV/atom. The energy above the most stable polymorph in this dataset comes out at 0.000 eV per atom. Its density of states at the Fermi level is 4.8 states/eV per cell.

a = 7.272 Å, b = 7.272 Å, c = 6.501 Å
α = 90.00°, β = 90.00°, γ = 90.00°
Atoms (fractional coordinates):
Na  0.000  0.000  0.500
Rb  0.500  0.000  0.000
Cs  0.500  0.500  0.500
Cd  0.000  0.000  0.000
Rb  0.000  0.500  0.000

=====

Copy entry 3 word for word.
Here is crystalline CsRbNa2Cd at its relaxed geometry from Alexandria. Energies are from GGA-PBE.

Its symmetry is P4/mmm (123). The value obtained for the total magnetization is 0.000 μB per formula unit. Its formation energy is 50 meV/atom. The energy above the most stable polymorph in this dataset comes out at 0.000 eV per atom. Its density of states at the Fermi level is 4.6 states/eV per cell.

a = 6.407 Å, b = 6.407 Å, c = 6.968 Å
α = 90.00°, β = 90.00°, γ = 90.00°
Atoms (fractional coordinates):
Na  0.000  0.500  0.000
Cd  0.000  0.000  0.000
Cs  0.500  0.500  0.500
Na  0.500  0.000  0.000
Rb  0.000  0.000  0.500

=====

Copy entry 2 word for word.
Here is crystalline CsRbNa2Cd at its relaxed geometry from Alexandria. Energies are from GGA-PBE.

Its symmetry is P4/mmm (123). The value obtained for the total magnetization is 0.000 μB per formula unit. Its formation energy is 65 meV/atom. The energy above the most stable polymorph in this dataset comes out at 0.015 eV per atom. Its density of states at the Fermi level is 4.5 states/eV per cell.

a = 6.401 Å, b = 6.401 Å, c = 7.134 Å
α = 90.00°, β = 90.00°, γ = 90.00°
Atoms (fractional coordinates):
Cs  0.000  0.000  0.500
Na  0.500  0.000  0.000
Na  0.000  0.500  0.000
Cd  0.000  0.000  0.000
Rb  0.500  0.500  0.500

=====

Copy entry 1 word for word.
Here is crystalline CsRb2NaCd at its relaxed geometry from Alexandria. Energies are from GGA-PBE.

Its symmetry is P4/mmm (123). The value obtained for the total magnetization is 0.000 μB per formula unit. Its formation energy is 98 meV/atom. The energy above the most stable polymorph in this dataset comes out at 0.057 eV per atom. Its density of states at the Fermi level is 5.1 states/eV per cell.

a = 7.177 Å, b = 7.177 Å, c = 7.427 Å
α = 90.00°, β = 90.00°, γ = 90.00°
Atoms (fractional coordinates):
Cs  0.000  0.000  0.500
Cd  0.000  0.000  0.000
Rb  0.500  0.000  0.000
Na  0.500  0.500  0.500
Rb  0.000  0.500  0.000